Below is Pr5Sm2Dy after structural relaxation, with properties calculated at the PBE-GGA level.

a = 5.1977 Å, b = 7.3306 Å, c = 14.6892 Å
α = 90.00°, β = 90.00°, γ = 90.00°
Sites, in units of the cell vectors:
Pr  0.0000  0.5006  0.7517
Pr  0.5000  0.2484  0.3762
Pr  0.0000  0.5000  0.5000
Pr  0.0000  0.0006  0.7483
Pr  0.5000  0.2516  0.8762
Pr  0.0000  0.9994  0.2517
Pr  0.5000  0.7484  0.1238
Pr  0.0000  0.4994  0.2483
Pr  0.0000  0.0000  0.0000
Pr  0.5000  0.7516  0.6238
Sm  0.5000  0.7499  0.8763
Sm  0.5000  0.7501  0.3763
Sm  0.5000  0.2499  0.6237
Sm  0.5000  0.2501  0.1237
Dy  0.0000  0.5000  0.0000
Dy  0.0000  0.0000  0.5000

Summary:
Its crystal system is orthorhombic. The calculated formation energy is 0.0151 eV/atom. Its total DFT energy (no corrections) is -4.7271 eV/atom. The value obtained for the energy above the most stable polymorph in this dataset is 0.000 eV/atom.

***

Below is Mg2Bi2Pt after structural relaxation, with properties calculated at the PBE-GGA level.

a = 7.0042 Å, b = 7.0042 Å, c = 4.9265 Å
α = 90.00°, β = 90.00°, γ = 90.00°
Sites, in units of the cell vectors:
Mg  0.8426  0.6574  0.0000
Mg  0.6574  0.1574  0.0000
Mg  0.1574  0.3426  0.0000
Mg  0.3426  0.8426  0.0000
Pt  0.5000  0.5000  0.0000
Pt  0.0000  0.0000  0.0000
Bi  0.6641  0.8359  0.5000
Bi  0.8359  0.3359  0.5000
Bi  0.3359  0.1641  0.5000
Bi  0.1641  0.6641  0.5000

Summary:
Its crystal system is tetragonal. The calculated formation energy is -0.1095 eV/atom. Its total DFT energy (no corrections) is -3.5079 eV/atom. The value obtained for the energy above the most stable polymorph in this dataset is 0.000 eV/atom.

***

Below is ZrNiTe2 after structural relaxation, with properties calculated at the PBE-GGA level.

a = 6.7438 Å, b = 8.1090 Å, c = 8.6848 Å
α = 117.88°, β = 90.00°, γ = 90.00°
Sites, in units of the cell vectors:
Ni  0.3538  0.0583  0.6161
Ni  0.8538  0.4417  0.3839
Ni  0.6462  0.9417  0.3839
Ni  0.1462  0.5583  0.6161
Zr  0.5002  0.2906  0.5001
Zr  0.9998  0.7906  0.5001
Zr  0.0002  0.2094  0.4999
Zr  0.4998  0.7094  0.4999
Te  0.7502  0.5954  0.1914
Te  0.7343  0.1057  0.7105
Te  0.2657  0.8943  0.2895
Te  0.7498  0.0954  0.1914
Te  0.2343  0.3943  0.2895
Te  0.2498  0.4046  0.8086
Te  0.2502  0.9046  0.8086
Te  0.7657  0.6057  0.7105

Summary:
Its crystal system is monoclinic. Its uncorrected formation energy is -725 meV/atom. Its total DFT energy (no corrections) is -5.8786 eV/atom. The value obtained for the energy above the most stable polymorph in this dataset is 0.000 eV/atom.

***

Below is HgPd3Se after structural relaxation, with properties calculated at the PBE-GGA level.

a = 4.1016 Å, b = 5.9321 Å, c = 7.4542 Å
α = 100.23°, β = 90.00°, γ = 90.00°
Sites, in units of the cell vectors:
Hg  0.7500  0.1826  0.1283
Hg  0.2500  0.8174  0.8717
Pd  0.2500  0.9450  0.2780
Pd  0.7500  0.6539  0.0740
Pd  0.2500  0.3461  0.9260
Pd  0.2500  0.4722  0.3293
Pd  0.7500  0.5278  0.6707
Pd  0.7500  0.0550  0.7220
Se  0.2500  0.2421  0.5826
Se  0.7500  0.7579  0.4174

Summary:
Its crystal system is monoclinic. Its uncorrected formation energy is -195 meV/atom. Its total DFT energy (no corrections) is -4.0677 eV/atom. The value obtained for the energy above the most stable polymorph in this dataset is 0.000 eV/atom.

***

> Which value of energy above the most stable polymorph in this dataset does entry 3 give?

0.000 eV/atom